Record 1
The following is a PBE calculation of CrCdRe2 after structural relaxation, from the Alexandria database.

```
data_CrCdRe2
_chemical_formula_sum 'Cr1 Cd1 Re2'
_cell_length_a 2.730
_cell_length_b 4.047
_cell_length_c 5.662
_cell_angle_alpha 90.00
_cell_angle_beta 95.57
_cell_angle_gamma 90.00
_symmetry_space_group_name_H-M 'P 1 2/m 1'
_symmetry_Int_Tables_number 10
loop_
_symmetry_equiv_pos_as_xyz
'x,y,z'
'-x,-y,-z'
'-x,y,-z'
'x,-y,z'
loop_
_atom_site_label
_atom_site_fract_x
_atom_site_fract_y
_atom_site_fract_z
_atom_site_occupancy
Cr1 0.000 0.000 0.000 1
Cd1 0.000 0.000 0.500 1
Re1 0.409 0.500 0.212 1
```

Values from the calculation:
E_form in eV per atom: 0.506

Record 2
The following is a PBE calculation of Sm2HoAg after structural relaxation, from the Alexandria database.

```
data_Sm2HoAg
_chemical_formula_sum 'Sm6 Ho3 Ag3'
_cell_length_a 3.5936
_cell_length_b 3.5936
_cell_length_c 31.8309
_cell_angle_alpha 90.00
_cell_angle_beta 90.00
_cell_angle_gamma 120.00
_symmetry_space_group_name_H-M 'R -3 m'
_symmetry_Int_Tables_number 166
_symmetry_space_group_name_Hall '-R 3 2"'
loop_
_atom_site_label
_atom_site_fract_x
_atom_site_fract_y
_atom_site_fract_z
_atom_site_occupancy
Sm1 0.0000 0.0000 0.2424 1
Ho1 0.0000 0.0000 0.0000 1
Ag1 0.0000 0.0000 0.5000 1
```

Values from the calculation:
E_form in eV per atom: -0.012
ΔE to the lowest computed polymorph in kJ per mole of atoms: 9.2

Record 3
The following is a PBE calculation of VPdSe2S after structural relaxation, from the Alexandria database.

```
data_VPdSe2S
_chemical_formula_sum 'V1 Pd1 Se2 S1'
_cell_length_a 4.603
_cell_length_b 4.603
_cell_length_c 5.080
_cell_angle_alpha 90.00
_cell_angle_beta 90.00
_cell_angle_gamma 90.00
_symmetry_space_group_name_H-M 'P 4/m m m'
_symmetry_Int_Tables_number 123
_symmetry_space_group_name_Hall '-P 4 2'
loop_
_atom_site_label
_atom_site_fract_x
_atom_site_fract_y
_atom_site_fract_z
_atom_site_occupancy
V1 0.000 0.000 0.000 1
Pd1 0.000 0.000 0.500 1
Se1 0.000 0.500 0.000 1
S1 0.500 0.500 0.500 1
```

Values from the calculation:
Uncorrected formation energy in eV per atom: 0.52

Record 4
The following is a PBE calculation of MgTlAs after structural relaxation, from the Alexandria database.

```
data_MgTlAs
_chemical_formula_sum 'Mg4 Tl4 As4'
_cell_length_a 7.733
_cell_length_b 4.470
_cell_length_c 10.079
_cell_angle_alpha 90.00
_cell_angle_beta 104.97
_cell_angle_gamma 90.00
_symmetry_space_group_name_H-M 'C 1 2/m 1'
_symmetry_Int_Tables_number 12
loop_
_symmetry_equiv_pos_as_xyz
'x,y,z'
'-x,-y,-z'
'-x,y,-z'
'x,-y,z'
'x+1/2,y+1/2,z'
'-x+1/2,-y+1/2,-z'
'-x+1/2,y+1/2,-z'
'x+1/2,-y+1/2,z'
loop_
_atom_site_label
_atom_site_fract_x
_atom_site_fract_y
_atom_site_fract_z
_atom_site_occupancy
Mg1 0.201 0.000 0.101 1
Tl1 0.122 0.500 0.364 1
As1 0.106 0.000 0.820 1
```

Values from the calculation:
E_form in eV per atom: -0.362

Record 5
The following is a PBE calculation of Tm3PbSO after structural relaxation, from the Alexandria database.

```
data_Tm3PbSO
_chemical_formula_sum 'Tm6 Pb2 S2 O2'
_cell_length_a 8.590
_cell_length_b 3.854
_cell_length_c 8.803
_cell_angle_alpha 90.00
_cell_angle_beta 104.69
_cell_angle_gamma 90.00
_symmetry_space_group_name_H-M 'P 1 21/m 1'
_symmetry_Int_Tables_number 11
loop_
_symmetry_equiv_pos_as_xyz
'x,y,z'
'-x,-y,-z'
'-x,y+1/2,-z'
'x,-y+1/2,z'
loop_
_atom_site_label
_atom_site_fract_x
_atom_site_fract_y
_atom_site_fract_z
_atom_site_occupancy
Tm1 0.062 0.250 0.344 1
Tm2 0.333 0.250 0.975 1
Tm3 0.388 0.750 0.642 1
Pb1 0.308 0.750 0.266 1
S1 0.161 0.250 0.658 1
O1 0.412 0.750 0.899 1
```

Values from the calculation:
Uncorrected formation energy in eV per atom: -1.77

Record 6
The following is a PBE calculation of Cr3IrW after structural relaxation, from the Alexandria database.

```
data_Cr3IrW
_chemical_formula_sum 'Cr3 Ir1 W1'
_cell_length_a 4.394
_cell_length_b 4.394
_cell_length_c 4.394
_cell_angle_alpha 90.00
_cell_angle_beta 90.00
_cell_angle_gamma 90.00
_symmetry_space_group_name_H-M 'P m -3 m'
_symmetry_Int_Tables_number 221
_symmetry_space_group_name_Hall '-P 4 2 3'
loop_
_atom_site_label
_atom_site_fract_x
_atom_site_fract_y
_atom_site_fract_z
_atom_site_occupancy
Cr1 0.000 0.000 0.500 1
Ir1 0.500 0.500 0.500 1
W1 0.000 0.000 0.000 1
```

Values from the calculation:
E_form in eV per atom: 1.939

One value per record, in order, for total magnetization: 0.0369; 0.0000; 0.1073; 0.0000; 0.0000; 0.0002 μB/atom.
One value per record, in order, for electronic total energy: -8.3522; -4.2290; -4.5599; -3.2321; -6.1386; -8.1981 eV per atom.